Version i
{
  "formula": "CoGePtW",
  "functional": "GGA-PBE",
  "state": "relaxed",
  "lattice": [[0.000, 3.082, 3.082], [3.082, 0.000, 3.082], [3.082, 3.082, 0.000]],
  "species": ["Co", "Ge", "Pt", "W"],
  "fractional_positions": [[0.000, 0.000, 0.000], [0.750, 0.750, 0.750], [0.500, 0.500, 0.500], [0.250, 0.250, 0.250]],
  "crystal_system": "cubic",
  "spacegroup": "F-43m (216)"
}

Version ii
{
  "formula": "CoGePtW",
  "functional": "GGA-PBE",
  "state": "relaxed",
  "lattice": [[0.000, 3.062, 3.062], [3.062, 0.000, 3.062], [3.062, 3.062, 0.000]],
  "species": ["Co", "Ge", "Pt", "W"],
  "fractional_positions": [[0.000, 0.000, 0.000], [0.750, 0.750, 0.750], [0.250, 0.250, 0.250], [0.500, 0.500, 0.500]],
  "crystal_system": "cubic",
  "spacegroup": "F-43m (216)"
}

Stability summary - winner: version ii; margin: 20.8 kJ/mol of atoms.

Version i
{
  "formula": "YCoGePt",
  "functional": "GGA-PBE",
  "state": "relaxed",
  "lattice": [[0.000, 3.253, 3.253], [3.253, 0.000, 3.253], [3.253, 3.253, 0.000]],
  "species": ["Y", "Co", "Ge", "Pt"],
  "fractional_positions": [[0.000, 0.000, 0.000], [0.750, 0.750, 0.750], [0.500, 0.500, 0.500], [0.250, 0.250, 0.250]],
  "crystal_system": "cubic",
  "spacegroup": "F-43m (216)"
}

Version ii
{
  "formula": "YCoGePt",
  "functional": "GGA-PBE",
  "state": "relaxed",
  "lattice": [[0.000, 3.292, 3.292], [3.292, 0.000, 3.292], [3.292, 3.292, 0.000]],
  "species": ["Y", "Co", "Ge", "Pt"],
  "fractional_positions": [[0.000, 0.000, 0.000], [0.500, 0.500, 0.500], [0.250, 0.250, 0.250], [0.750, 0.750, 0.750]],
  "crystal_system": "cubic",
  "spacegroup": "F-43m (216)"
}

Stability summary - winner: version i; margin: 9.7 kJ/mol of atoms.

Version i
{
  "formula": "ZnCoGePt",
  "functional": "GGA-PBE",
  "state": "relaxed",
  "lattice": [[0.000, 3.053, 3.053], [3.053, 0.000, 3.053], [3.053, 3.053, 0.000]],
  "species": ["Zn", "Co", "Ge", "Pt"],
  "fractional_positions": [[0.000, 0.000, 0.000], [0.500, 0.500, 0.500], [0.250, 0.250, 0.250], [0.750, 0.750, 0.750]],
  "crystal_system": "cubic",
  "spacegroup": "F-43m (216)"
}

Version ii
{
  "formula": "ZnCoGePt",
  "functional": "GGA-PBE",
  "state": "relaxed",
  "lattice": [[0.000, 3.027, 3.027], [3.027, 0.000, 3.027], [3.027, 3.027, 0.000]],
  "species": ["Zn", "Co", "Ge", "Pt"],
  "fractional_positions": [[0.000, 0.000, 0.000], [0.750, 0.750, 0.750], [0.500, 0.500, 0.500], [0.250, 0.250, 0.250]],
  "crystal_system": "cubic",
  "spacegroup": "F-43m (216)"
}

Stability summary - winner: version ii; margin: 18.8 kJ/mol of atoms.